No. 1
CeMgH8Pt2 (GGA-PBE, optimized geometry); crystal system = trigonal; magnetization = 0.71 Bohr magnetons per cell; total energy = -4.0516 eV/atom
1.0
4.838 0.000 0.000
2.419 4.190 0.000
2.419 1.397 5.939
Ce Mg H Pt
1 1 8 2
direct
0.500 0.500 0.500
0.000 0.000 0.000
0.171 0.171 0.487
0.605 0.293 0.196
0.829 0.829 0.513
0.907 0.605 0.196
0.093 0.395 0.804
0.293 0.907 0.196
0.707 0.093 0.804
0.395 0.707 0.804
0.262 0.262 0.215
0.738 0.738 0.785

***

No. 2
CeMgH6Rh2 (GGA-PBE, optimized geometry); crystal system = trigonal; magnetization = 0.30 Bohr magnetons per cell; total energy = -4.6462 eV/atom
1.0
4.598 0.000 0.000
2.299 3.982 0.000
2.299 1.327 5.174
Ce Mg H Rh
1 1 6 2
direct
0.000 0.000 0.000
0.500 0.500 0.500
0.065 0.559 0.817
0.559 0.065 0.817
0.441 0.441 0.183
0.935 0.441 0.183
0.441 0.935 0.183
0.559 0.559 0.817
0.790 0.790 0.629
0.210 0.210 0.371

***

Q: Which value of total energy does entry 1 give?
A: -4.0516 eV/atom